Density functional theory data (PBE-GGA) for a geometry-optimized Sm4DyBi2 structure.

Summary:
* total magnetic moment: 0.001 μB/f.u.
* raw total energy: -4.262 eV/atom

Unit cell a=9.3688 b=9.3688 c=9.3688 alpha=146.38 beta=146.38 gamma=48.28
Atoms (fractional coordinates):
Sm 0.0000 0.5000 0.5000
Sm 0.1817 0.1817 0.0000
Sm 0.5000 0.0000 0.5000
Sm 0.8183 0.8183 0.0000
Dy 0.0000 0.0000 0.0000
Bi 0.3655 0.3655 0.0000
Bi 0.6345 0.6345 0.0000